# 1
Mg2ZrAg after structural relaxation. Source: Alexandria via LeMat-Bulk, functional GGA-PBE.

Lattice parameters (Å, degrees): 5.2537 5.2537 5.6471 81.44 81.44 32.83
Closest atoms and distances in Å follow each position.
Fractional positions:
Mg (0.0079, 0.0079, 0.0052)  5 Mg 2.96-3.07, 3 Ag 2.99-3.22, 4 Zr 3.16-3.22
Mg (0.2536, 0.2536, 0.2330)  5 Mg 2.96-3.07, 3 Zr 3.10-3.21, 4 Ag 3.14-3.25
Zr (0.4941, 0.4941, 0.5152)  2 Zr 2.97, 3 Ag 3.02-3.04, 7 Mg 3.10-3.22
Ag (0.7445, 0.7445, 0.7466)  2 Ag 2.97, 7 Mg 2.99-3.25, 3 Zr 3.02-3.04

Properties
Energy relative to the elements = 29 meV per atom
Magnetic moment = 0.0 Bohr magnetons per cell
Space group = Cm, No. 8
Crystal system = monoclinic
Total DFT energy (no corrections) = -3.618 eV per atom

---

# 2
MgZr2Ag after structural relaxation. Source: Alexandria via LeMat-Bulk, functional GGA-PBE.

Lattice parameters (Å, degrees): 5.6194 5.6194 5.3906 67.69 67.69 32.70
Closest atoms and distances in Å follow each position.
Fractional positions:
Zr (0.0045, 0.0045, 0.9516)  5 Zr 3.01-3.16, 4 Ag 3.03-3.22, 3 Mg 3.23-3.33
Zr (0.7615, 0.7615, 0.7969)  2 Ag 3.01, 5 Zr 3.01-3.16, 4 Mg 3.13-3.15
Mg (0.2324, 0.2324, 0.3181)  2 Ag 2.80, 2 Zr 3.13
Ag (0.5017, 0.5017, 0.4334)  2 Mg 2.80, 4 Zr 3.01-3.03

Properties
Energy above the lowest structure with this stoichiometry = 102 meV per atom
Energy relative to the elements = -10 meV per atom
Magnetic moment = 0.0 Bohr magnetons per cell
Space group = Cm, No. 8
Crystal system = monoclinic
Total DFT energy (no corrections) = -5.395 eV per atom

---

# 3
Mg2ZrAg after structural relaxation. Source: Alexandria via LeMat-Bulk, functional GGA-PBE.

Lattice parameters (Å, degrees): 6.0039 6.0039 6.0039 149.22 130.33 59.58
Closest atoms and distances in Å follow each position.
Fractional positions:
Zr (0.4848, 0.4848, 0.0000)  6 Mg 3.00-3.24, 2 Ag 3.01, 2 Zr 3.19
Ag (0.2399, 0.7399, 0.5000)  6 Mg 2.80-2.99, 2 Zr 3.01
Mg (0.7559, 0.2559, 0.5000)  4 Ag 2.99, 4 Mg 3.17-3.19, 2 Zr 3.24
Mg (0.0194, 0.0194, 0.0000)  2 Ag 2.80, 4 Zr 3.00

Properties
Energy relative to the elements = 58 meV per atom
Magnetic moment = 0.0 Bohr magnetons per cell
Space group = Imm2, No. 44
Crystal system = orthorhombic
Total DFT energy (no corrections) = -3.589 eV per atom